Entry from the Alexandria database: a geometry-optimized Sr2NdMg structure (GGA-PBE).

a = 4.762 Å, b = 5.783 Å, c = 5.783 Å
α = 90.00°, β = 90.00°, γ = 90.00°
Fractional positions:
Sr 0.000 0.000 0.500
Sr 0.000 0.500 0.000
Nd 0.500 0.500 0.500
Mg 0.500 0.000 0.000

Output
The formation energy from the elements comes out at 151 meV per atom. The mass density comes out at 3.58 Mg/m³.